The following is a DFT calculation (PBEsol) of an optimized crystal structure of BaCaCo.

Cell lengths 3.581, 3.581, 7.366 Å; angles 104.07, 104.07, 90.00 degrees
Each line ends with the local moment (μB).
Fractional positions:
1 Co 0.325 0.325 0.651  1.05
2 Ba 0.960 0.960 0.920  -0.06
3 Ca 0.714 0.714 0.429  -0.06

Summary:
Energy of formation: 0.4239 eV/atom
Theoretical density: 4.42 g/cm³

***

The following is a DFT calculation (PBEsol) of an optimized crystal structure of PdNCl2.

Cell lengths 4.728, 4.728, 7.034 Å; angles 109.64, 109.64, 90.00 degrees
Fractional positions:
1 Cl 0.625 0.575 0.750
2 Cl 0.825 0.375 0.250
3 Cl 0.425 0.875 0.250
4 Pd 0.250 0.750 0.500
5 N 0.500 0.500 0.000
6 N 0.750 0.250 0.500
7 Pd 0.000 0.000 0.000
8 Cl 0.125 0.175 0.750

Summary:
Raw formation energy: 1.2238 eV per atom
Theoretical density: 4.59 g/cm³

***

The following is a DFT calculation (PBEsol) of an optimized crystal structure of AlCu3Hg.

Cell lengths 4.729, 4.729, 4.729 Å; angles 90.00, 90.00, 90.00 degrees
Fractional positions:
1 Cu 0.000 0.000 0.500
2 Hg 0.000 0.000 0.000
3 Cu 0.000 0.500 0.000
4 Cu 0.500 0.000 0.000
5 Al 0.500 0.500 0.500

Summary:
Energy of formation: 1.0154 eV/atom
Theoretical density: 6.57 g/cm³

***

The following is a DFT calculation (PBEsol) of an optimized crystal structure of Ag7Sb.

Cell lengths 5.832, 5.832, 5.832 Å; angles 60.00, 60.00, 60.00 degrees
Fractional positions:
1 Ag 0.500 0.500 0.000
2 Ag 0.500 0.000 0.000
3 Ag 0.500 0.500 0.500
4 Ag 0.000 0.000 0.500
5 Sb 0.000 0.000 0.000
6 Ag 0.000 0.500 0.000
7 Ag 0.000 0.500 0.500
8 Ag 0.500 0.000 0.500

Summary:
Raw formation energy: 0.0263 eV per atom
Theoretical density: 10.38 g/cm³

***

The following is a DFT calculation (PBEsol) of an optimized crystal structure of HfTaSe2Br.

Cell lengths 4.980, 5.097, 5.097 Å; angles 90.00, 90.00, 90.00 degrees
Each line ends with the local moment (μB).
Fractional positions:
1 Se 0.000 0.000 0.500  -0.06
2 Ta 0.500 0.500 0.500  2.22
3 Br 0.500 0.000 0.000  0.02
4 Se 0.000 0.500 0.000  -0.06
5 Hf 0.000 0.000 0.000  0.07

Summary:
Raw formation energy: 0.4554 eV per atom
Energy relative to the lowest polymorph listed for this composition: 107 meV/atom
Theoretical density: 7.67 g/cm³

***

The following is a DFT calculation (PBEsol) of an optimized crystal structure of Sr2In4Au3.

Cell lengths 4.565, 14.899, 14.899 Å; angles 120.00, 90.00, 90.00 degrees
Fractional positions:
1 In 0.500 0.123 0.650
2 Sr 0.500 0.180 0.180
3 In 0.000 0.618 0.800
4 Sr 0.000 0.452 0.000
5 In 0.500 0.650 0.123
6 In 0.000 0.000 0.000
7 In 0.500 0.877 0.527
8 In 0.000 0.183 0.382
9 In 0.500 0.350 0.473
10 In 0.000 0.817 0.200
11 Sr 0.000 0.000 0.452
12 Sr 0.500 0.820 0.000
13 Au 0.000 0.657 0.000
14 Sr 0.500 0.000 0.820
15 In 0.000 0.382 0.183
16 In 0.500 0.281 0.000
17 Au 0.000 0.180 0.000
18 Au 0.000 0.343 0.343
19 Au 0.000 0.000 0.180
20 Au 0.500 0.171 0.492
21 In 0.500 0.527 0.877
22 Au 0.500 0.508 0.679
23 Au 0.000 0.000 0.657
24 Au 0.500 0.492 0.171
25 In 0.500 0.473 0.350
26 Sr 0.000 0.333 0.667
27 In 0.000 0.800 0.618
28 Au 0.500 0.321 0.829
29 In 0.500 0.000 0.281
30 Sr 0.000 0.667 0.333
31 Sr 0.000 0.548 0.548
32 In 0.000 0.200 0.817
33 Au 0.500 0.679 0.508
34 In 0.500 0.719 0.719
35 Au 0.500 0.829 0.321
36 Au 0.000 0.820 0.820

Summary:
Energy of formation: -0.5719 eV/atom
Theoretical density: 9.27 g/cm³

***

The following is a DFT calculation (PBEsol) of an optimized crystal structure of ScTi2Ni.

Cell lengths 4.430, 4.430, 4.430 Å; angles 60.00, 60.00, 60.00 degrees
Fractional positions:
1 Sc 0.000 0.000 0.000
2 Ni 0.500 0.500 0.500
3 Ti 0.250 0.250 0.250
4 Ti 0.750 0.750 0.750

Summary:
Energy of formation: 0.0877 eV/atom
Theoretical density: 5.39 g/cm³

***

The following is a DFT calculation (PBEsol) of an optimized crystal structure of TlSnPt2O.

Cell lengths 4.255, 4.255, 4.986 Å; angles 90.00, 90.00, 90.00 degrees
Fractional positions:
1 Pt 0.000 0.500 0.000
2 O 0.000 0.000 0.000
3 Pt 0.500 0.000 0.000
4 Sn 0.500 0.500 0.500
5 Tl 0.000 0.000 0.500

Summary:
Raw formation energy: 0.2738 eV per atom
Theoretical density: 13.41 g/cm³

***

The following is a DFT calculation (PBEsol) of an optimized crystal structure of Zn2CrCo.

Cell lengths 2.479, 2.479, 7.744 Å; angles 90.00, 90.00, 90.00 degrees
Each line ends with the local moment (μB).
Fractional positions:
1 Zn 0.000 0.000 0.758  -0.01
2 Cr 0.500 0.500 0.500  0.28
3 Co 0.500 0.500 0.000  1.40
4 Zn 0.000 0.000 0.242  -0.01

Summary:
Energy of formation: 0.1477 eV/atom
Energy relative to the lowest polymorph listed for this composition: 135 meV/atom
Theoretical density: 8.44 g/cm³

***

The following is a DFT calculation (PBEsol) of an optimized crystal structure of CdNiW2.

Cell lengths 3.183, 3.183, 6.066 Å; angles 90.00, 90.00, 90.00 degrees
Fractional positions:
1 Ni 0.500 0.500 0.761
2 W 0.500 0.500 0.220
3 W 0.000 0.000 0.997
4 Cd 0.000 0.000 0.522

Summary:
Energy of formation: 0.3693 eV/atom
Theoretical density: 14.55 g/cm³

***

The following is a DFT calculation (PBEsol) of an optimized crystal structure of GaAg3H.

Cell lengths 4.104, 4.104, 4.104 Å; angles 90.00, 90.00, 90.00 degrees
Fractional positions:
1 Ag 0.500 0.000 0.000
2 Ag 0.000 0.000 0.500
3 H 0.000 0.000 0.000
4 Ga 0.500 0.500 0.500
5 Ag 0.000 0.500 0.000

Summary:
E: -3.151 eV per atom
Theoretical density: 9.47 g/cm³

***

The following is a DFT calculation (PBEsol) of an optimized crystal structure of MgAgPb2.

Cell lengths 3.424, 3.424, 9.844 Å; angles 79.99, 79.99, 60.00 degrees
Fractional positions:
1 Pb 0.754 0.754 0.738
2 Ag 0.500 0.500 0.500
3 Mg 0.000 0.000 0.000
4 Pb 0.246 0.246 0.262

Summary:
Energy of formation: 0.0515 eV/atom
Theoretical density: 9.27 g/cm³

***

Please write out number 11 again, unchanged.
The following is a DFT calculation (PBEsol) of an optimized crystal structure of GaAg3H.

Cell lengths 4.104, 4.104, 4.104 Å; angles 90.00, 90.00, 90.00 degrees
Fractional positions:
1 Ag 0.500 0.000 0.000
2 Ag 0.000 0.000 0.500
3 H 0.000 0.000 0.000
4 Ga 0.500 0.500 0.500
5 Ag 0.000 0.500 0.000

Summary:
E: -3.151 eV per atom
Theoretical density: 9.47 g/cm³